# In2TeSe

A relaxed structure of In2TeSe (PBE, Alexandria via LeMat-Bulk).

a b c (Å): 4.388 4.388 9.754
angles (deg): 90.16 90.16 59.97
Element x y z (fractional)
In 0.000 0.000 0.000
In 0.665 0.665 0.583
Te 0.997 0.997 0.443
Se 0.666 0.666 0.846

## Properties
Polymorph energy (0 for the lowest one) ... 20 meV per atom
E_form (uncorrected) ... -0.3321 eV/atom
Space-group type ... Cm, No. 8


# InTe2Se

A relaxed structure of InTe2Se (PBE, Alexandria via LeMat-Bulk).

a b c (Å): 8.280 8.280 8.280
angles (deg): 152.20 151.61 40.15
Element x y z (fractional)
In 0.000 0.000 0.000
Te 0.433 0.433 0.000
Te 0.705 0.205 0.500
Se 0.167 0.667 0.500

## Properties
E_form (uncorrected) ... -0.0245 eV/atom
Space-group type ... Imm2, No. 44


# In3Te2Se

A relaxed structure of In3Te2Se (PBE, Alexandria via LeMat-Bulk).

a b c (Å): 9.710 9.710 6.050
angles (deg): 90.00 90.00 38.67
Element x y z (fractional)
In 0.099 0.583 0.250
In 0.217 0.783 0.750
In 0.417 0.901 0.250
In 0.583 0.099 0.750
In 0.783 0.217 0.250
In 0.901 0.417 0.750
Te 0.082 0.585 0.750
Te 0.415 0.918 0.750
Te 0.585 0.082 0.250
Te 0.918 0.415 0.250
Se 0.242 0.758 0.250
Se 0.758 0.242 0.750

## Properties
Polymorph energy (0 for the lowest one) ... 0 meV per atom
E_form (uncorrected) ... -0.3207 eV/atom
Space-group type ... Cmcm, No. 63


# In4Te3Se

A relaxed structure of In4Te3Se (PBE, Alexandria via LeMat-Bulk).

a b c (Å): 8.873 10.057 7.099
angles (deg): 90.00 90.00 90.00
Element x y z (fractional)
In 0.000 0.117 0.000
In 0.000 0.852 0.516
In 0.207 0.335 0.567
In 0.293 0.665 0.067
In 0.500 0.148 0.016
In 0.500 0.883 0.500
In 0.707 0.665 0.067
In 0.793 0.335 0.567
Te 0.000 0.848 0.113
Te 0.237 0.292 0.109
Te 0.263 0.708 0.609
Te 0.500 0.152 0.613
Te 0.737 0.708 0.609
Te 0.763 0.292 0.109
Se 0.000 0.102 0.625
Se 0.500 0.898 0.125

## Properties
Polymorph energy (0 for the lowest one) ... 23 meV per atom
E_form (uncorrected) ... -0.2920 eV/atom
Space-group type ... Pmn2_1, No. 31


# InTe2Se2

A relaxed structure of InTe2Se2 (PBE, Alexandria via LeMat-Bulk).

a b c (Å): 6.790 6.790 6.790
angles (deg): 130.68 130.68 72.31
Element x y z (fractional)
In 0.000 0.000 0.000
Te 0.303 0.303 0.000
Te 0.697 0.697 0.000
Se 0.250 0.750 0.500
Se 0.750 0.250 0.500

## Properties
Polymorph energy (0 for the lowest one) ... 0 meV per atom
E_form (uncorrected) ... 0.0579 eV/atom
Space-group type ... I4/mmm, No. 139


# InTe2Se

A relaxed structure of InTe2Se (PBE, Alexandria via LeMat-Bulk).

a b c (Å): 8.017 8.017 8.017
angles (deg): 30.16 30.16 30.16
Element x y z (fractional)
In 0.000 0.000 0.000
Te 0.246 0.246 0.246
Te 0.492 0.492 0.492
Se 0.733 0.733 0.733

## Properties
E_form (uncorrected) ... -0.0735 eV/atom
Space-group type ... R3m, No. 160


# In4Te3Se

A relaxed structure of In4Te3Se (PBE, Alexandria via LeMat-Bulk).

a b c (Å): 7.563 7.564 8.849
angles (deg): 90.00 90.00 110.31
Element x y z (fractional)
In 0.237 0.003 0.381
In 0.238 0.503 0.619
In 0.246 0.992 0.867
In 0.247 0.493 0.132
In 0.753 0.507 0.868
In 0.754 0.008 0.133
In 0.762 0.497 0.381
In 0.763 0.997 0.619
Te 0.000 0.250 0.873
Te 0.000 0.750 0.127
Te 0.500 0.250 0.126
Te 0.500 0.250 0.623
Te 0.500 0.750 0.377
Te 0.500 0.750 0.874
Se 0.000 0.250 0.379
Se 0.000 0.750 0.621

## Properties
Polymorph energy (0 for the lowest one) ... 0 meV per atom
E_form (uncorrected) ... -0.3153 eV/atom
Space-group type ... P-1, No. 2


# In2TeSe2

A relaxed structure of In2TeSe2 (PBE, Alexandria via LeMat-Bulk).

a b c (Å): 5.979 5.979 5.979
angles (deg): 125.72 125.72 80.35
Element x y z (fractional)
In 0.158 0.158 0.000
In 0.842 0.842 0.000
Te 0.500 0.500 0.000
Se 0.250 0.750 0.500
Se 0.750 0.250 0.500

## Properties
E_form (uncorrected) ... -0.0636 eV/atom
Space-group type ... I4/mmm, No. 139